[1]
Compound: Hf3Sc
Source: Alexandria via LeMat-Bulk
Functional: PBE-GGA
Structure: optimized geometry

```
Hf3Sc
1.0
4.4867 0.0000 0.0000
0.0000 4.4867 0.0000
0.0000 0.0000 4.4867
Sc Hf
1 3
Cartesian
0.0000 0.0000 0.0000
0.0000 2.2433 2.2433
2.2433 0.0000 2.2433
2.2433 2.2433 0.0000
```

Results
Calculated formation energy   0.075 eV per atom
Energy relative to the lowest polymorph listed for this composition   83 meV per atom
Symmetry   No. 221

=====

[2]
Compound: Sm3Ag5Cl12
Source: Alexandria via LeMat-Bulk
Functional: PBE-GGA
Structure: optimized geometry

```
Sm3Ag5Cl12
1.0
13.9469 0.0000 0.0000
-4.6490 13.1492 0.0000
-4.6490 -6.5746 11.3876
Sm Ag Cl
12 20 48
Cartesian
8.1357 4.1091 1.4234
8.1357 9.0401 1.4234
-1.1622 5.7528 7.1172
1.1622 -0.8218 4.2703
10.4602 0.0000 2.8469
1.1622 6.5746 2.8469
3.4867 0.0000 8.5407
-5.8112 6.5746 8.5407
3.4867 7.3965 7.1172
5.8112 0.8218 4.2703
-3.4867 -2.4655 9.9641
-3.4867 2.4655 9.9641
-1.1622 3.2873 2.8469
-2.3245 6.5746 0.0000
0.0000 0.0000 0.0000
3.4867 2.4655 1.4234
4.6490 -3.2873 5.6938
4.6490 6.5746 0.0000
-3.4867 7.3965 4.2703
5.8112 -4.1091 9.9641
5.8112 5.7528 4.2703
1.1622 -3.2873 8.5407
3.4867 9.8619 2.8469
2.3245 3.2873 5.6938
6.9734 0.0000 0.0000
-2.3245 -3.2873 5.6938
-1.1622 0.8218 7.1172
-1.1622 10.6838 1.4234
-4.6490 3.2873 5.6938
8.1357 -0.8218 7.1172
1.1622 4.1091 9.9641
5.8112 3.2873 8.5407
9.2634 1.4200 0.5801
0.0345 4.4997 4.7541
10.2569 3.0160 3.1241
6.0144 2.0898 1.5198
1.7490 5.1059 7.6834
9.7160 6.5110 1.9896
-0.9590 7.5008 4.6439
-3.6899 11.0595 1.5198
0.5755 8.0434 7.6834
6.5554 6.6383 1.9896
7.0080 3.4949 4.1740
7.0080 11.7293 0.5801
-4.0735 5.9196 6.2739
2.7426 4.8834 1.0499
-4.6835 9.6544 4.1740
2.3590 -2.0749 6.6335
-0.5755 0.8137 2.5697
2.7426 8.3295 0.9397
6.0144 10.1332 3.1241
-0.4181 4.8198 0.9397
-2.8999 7.3884 8.8179
3.2835 5.6484 4.6439
6.3980 7.2296 6.2739
5.0671 -1.6912 10.3377
1.3655 0.9262 6.7437
-1.7490 -0.6550 5.1137
-0.4181 8.2658 1.0499
-1.3655 -3.5586 8.2635
7.5489 -0.8137 2.5697
5.0671 1.7548 10.4479
1.9064 -1.7548 10.4479
2.2899 8.6495 4.7541
5.2244 5.7609 8.8179
9.3325 -3.0797 7.2136
8.7225 0.6550 5.1137
-2.3590 -5.1546 10.8074
1.9064 1.6912 10.3377
4.0735 -1.4687 3.7042
-1.9064 -0.0636 9.3980
-2.3590 3.0797 7.2136
8.3389 -4.4848 9.8678
5.6080 -0.9262 6.7437
-1.3655 4.4848 9.8678
-5.0671 0.0636 9.3980
2.8999 1.4687 3.7042
-5.6080 3.5586 8.2635
4.6144 2.0749 6.6335
-4.6144 5.1546 10.8074
```

Results
Formation energy (no corrections)   -1151.4 meV/atom
Symmetry   No. 230

=====

[3]
Compound: AgIr3Se
Source: Alexandria via LeMat-Bulk
Functional: PBE-GGA
Structure: optimized geometry

```
AgIr3Se
1.0
4.8270 0.0000 0.0000
0.0000 4.8270 0.0000
0.0000 0.0000 4.8270
Ir Se Ag
3 1 1
Cartesian
0.0000 2.4135 0.0000
0.0000 0.0000 2.4135
2.4135 0.0000 0.0000
2.4135 2.4135 2.4135
0.0000 0.0000 0.0000
```

Results
Energy relative to the lowest polymorph listed for this composition   1288 meV per atom
Formation energy (no corrections)   2493.8 meV/atom
Symmetry   No. 221

=====

[4]
Compound: UIr2Os
Source: Alexandria via LeMat-Bulk
Functional: PBE-GGA
Structure: optimized geometry

```
UIr2Os
1.0
-4.5375 -0.1284 -0.4862
-2.0043 -3.7107 -1.7479
-2.5195 -2.7721 2.8123
Os Ir U
1 2 1
Cartesian
0.0000 0.0000 0.0000
-6.7719 -4.8527 0.1816
-2.2893 -1.7585 0.3966
-4.5306 -3.3056 0.2891
```

Results
Calculated formation energy   0.101 eV per atom
Energy relative to the lowest polymorph listed for this composition   619 meV per atom
Symmetry   No. 166

=====

[5]
Compound: NaTlN2
Source: Alexandria via LeMat-Bulk
Functional: PBE-GGA
Structure: optimized geometry

```
NaTlN2
1.0
6.1268 0.0000 0.0000
0.0000 6.1268 0.0000
3.0634 3.0634 3.7296
Na Tl N
2 2 4
Cartesian
3.0634 3.0634 0.0000
3.0634 6.1268 1.8648
0.0000 0.0000 0.0000
6.1268 3.0634 1.8648
4.7757 1.5317 0.9324
1.3511 4.5951 0.9324
4.5951 4.4146 2.7972
7.6585 7.8391 2.7972
```

Results
Energy relative to the lowest polymorph listed for this composition   1145 meV per atom
Formation energy (no corrections)   1165.1 meV/atom
Symmetry   No. 122

=====

[6]
Compound: In2RuRh
Source: Alexandria via LeMat-Bulk
Functional: PBE-GGA
Structure: optimized geometry

```
In2RuRh
1.0
-4.3815 -2.0074 -2.2403
-2.4149 -1.4386 -4.5105
0.5952 -4.6436 -0.6478
In Rh Ru
2 1 1
Cartesian
-6.6602 -3.7388 -6.7063
-4.7790 -5.7775 -5.5875
-3.1536 -4.3810 -3.8296
-1.5052 -1.6829 -1.7255
```

Results
Calculated formation energy   -0.063 eV per atom
Symmetry   No. 8

=====

[7]
Compound: SrTcNiSbH
Source: Alexandria via LeMat-Bulk
Functional: PBE-GGA
Structure: optimized geometry

```
SrTcNiSbH
1.0
-0.4813 -3.0480 2.8400
-0.9134 -0.7243 -4.0285
6.0109 -1.9008 -1.0212
Sr Tc Ni Sb H
1 1 1 1 1
Cartesian
4.8114 -1.5215 -0.8174
1.8668 -3.0615 0.1271
1.9798 -0.6260 -0.3364
0.3114 -1.8406 -1.9226
3.4939 -3.5760 -0.1493
```

Results
Energy relative to the lowest polymorph listed for this composition   45 meV per atom
Symmetry   No. 156